Here is LiFeF3 after structural relaxation from Alexandria via LeMat-Bulk. Energies are from GGA+U.

## Properties
Total energy   -5.27 eV/atom
N(E_F)   0.00 states/eV/cell
E above lowest polymorph   16 meV/atom
Crystal system   triclinic

Cell: 5.5412 6.6734 6.7171 Å, 84.70 83.38 83.58°
Sites, in units of the cell vectors:
Fe1 0.2497 0.7880 0.7132
Fe2 0.7499 0.5963 0.9047
Fe3 0.2501 0.4037 0.0953
Fe4 0.7503 0.2120 0.2868
F1 0.6254 0.3072 0.9794
F2 0.3924 0.3485 0.3644
F3 0.8760 0.5194 0.1931
F4 0.3746 0.6928 0.0206
F5 0.6076 0.6515 0.6356
F6 0.1103 0.1335 0.1517
F7 0.3764 0.0563 0.7272
F8 0.8779 0.2286 0.5531
F9 0.6236 0.9437 0.2728
F10 0.8897 0.8665 0.8483
F11 0.1240 0.4806 0.8069
F12 0.1221 0.7714 0.4469
Li1 0.1934 0.2813 0.6043
Li2 0.3072 0.8925 0.2230
Li3 0.6928 0.1075 0.7770
Li4 0.8066 0.7187 0.3957